Computed, not measured: an optimized crystal structure of Tl2CoF at the PBE with a Hubbard U level of DFT.

Summary:
Total DFT energy (no corrections) (eV for the cell shown): -12.18
Volume (A^3/atom): 20.434
Space group: Fm-3m (225)

Unit cell a=4.8712 b=4.8712 c=4.8712 alpha=60.00 beta=60.00 gamma=60.00
With the nearest neighbours (Å) after each atom.
Positions (direct):
Tl1 0.7500 0.7500 0.7500  4 Co 2.98, 4 F 2.98
Tl2 0.2500 0.2500 0.2500  4 Co 2.98, 4 F 2.98
Co1 0.5000 0.5000 0.5000  8 Tl 2.98
F1 0.0000 0.0000 0.0000  8 Tl 2.98